A:
First-principles (GGA-PBE) data for crystalline HgOsPt at its relaxed geometry, as listed in Alexandria.

Magnetization, μB per formula unit: 0.08

POSCAR file:
```
HgOsPt
1.0
7.7606 -0.0091 0.0054
6.9742 2.7262 0.0065
0.7864 -1.2944 2.4096
Pt Os Hg
1 1 1
Direct
0.3271 0.3271 0.6729 Pt
0.6730 0.6730 0.3270 Os
0.9999 0.9999 0.0001 Hg
```

=====

B:
First-principles (GGA-PBE) data for crystalline HgOsPt at its relaxed geometry, as listed in Alexandria.

Magnetization, μB per formula unit: 0.00

POSCAR file:
```
HgOsPt
1.0
-1.8550 1.9663 0.9885
0.8955 -2.1267 1.7204
5.3696 3.9908 2.1383
Pt Hg Os
1 1 1
Direct
0.3333 0.6667 0.6485 Pt
0.0000 0.0000 0.0007 Hg
0.6667 0.3333 0.3508 Os
```

=====

Quick one: least stable of them? A

=====

A:
First-principles (GGA-PBE) data for crystalline HgOsPt at its relaxed geometry, as listed in Alexandria.

Magnetization, μB per formula unit: 0.00

POSCAR file:
```
HgOsPt
1.0
6.5839 -0.0081 0.0000
5.3571 3.8274 0.0000
-5.9705 -1.9096 2.0134
Pt Hg Os
1 1 1
Direct
0.6807 0.6807 0.0000 Pt
0.9977 0.9977 0.0000 Hg
0.3216 0.3216 0.0000 Os
```

=====

B:
First-principles (GGA-PBE) data for crystalline HgOsPt at its relaxed geometry, as listed in Alexandria.

Magnetization, μB per formula unit: 0.00

POSCAR file:
```
HgOsPt
1.0
-1.8303 3.4393 -2.4875
-1.2533 -4.3717 -0.8275
-2.0511 0.2396 1.8405
Os Pt Hg
1 1 1
Direct
0.6667 0.3333 0.5001 Os
0.3333 0.6667 0.4998 Pt
0.0000 0.0000 0.0001 Hg
```

=====

Quick one: least stable of them? B

=====

A:
First-principles (GGA-PBE) data for crystalline PuScHgOs at its relaxed geometry, as listed in Alexandria.

Magnetization, μB per formula unit: 5.27

POSCAR file:
```
PuScHgOs
1.0
-2.3725 0.0927 4.2865
1.3889 -2.9794 3.6340
2.1942 1.8422 3.9754
Hg Os Pu Sc
1 1 1 1
Direct
0.0000 0.0000 0.0000 Hg
0.5000 0.5000 0.5000 Os
0.2500 0.2500 0.2500 Pu
0.7500 0.7500 0.7500 Sc
```

=====

B:
First-principles (GGA-PBE) data for crystalline PuScHgOs at its relaxed geometry, as listed in Alexandria.

Magnetization, μB per formula unit: 4.94

POSCAR file:
```
PuScHgOs
1.0
3.2266 0.0000 0.0000
0.0000 3.2266 0.0000
0.0000 0.0000 8.0078
Os Hg Sc Pu
1 1 1 1
Direct
0.0000 0.0000 0.5531 Os
0.0000 0.0000 0.0914 Hg
0.5000 0.5000 0.3588 Sc
0.5000 0.5000 0.7814 Pu
```

=====

Quick one: least stable of them? A

=====

A:
First-principles (GGA-PBE) data for crystalline PuThHgOs at its relaxed geometry, as listed in Alexandria.

Magnetization, μB per formula unit: 5.24

POSCAR file:
```
PuThHgOs
1.0
-0.9965 -1.9898 4.6182
0.1627 -5.0768 0.6931
3.7804 -2.0903 2.7604
Th Pu Os Hg
1 1 1 1
Direct
0.0000 0.0000 0.0000 Th
0.5000 0.5000 0.5000 Pu
0.2500 0.2500 0.2500 Os
0.7500 0.7500 0.7500 Hg
```

=====

B:
First-principles (GGA-PBE) data for crystalline PuThHgOs at its relaxed geometry, as listed in Alexandria.

Magnetization, μB per formula unit: 5.25

POSCAR file:
```
PuThHgOs
1.0
3.3629 0.0000 0.0000
0.0000 3.3629 0.0000
0.0000 0.0000 8.5188
Os Pu Th Hg
1 1 1 1
Direct
0.0000 0.0000 0.5665 Os
0.5000 0.5000 0.3586 Pu
0.5000 0.5000 0.7807 Th
0.0000 0.0000 0.0788 Hg
```

=====

Quick one: least stable of them? A

=====

A:
First-principles (GGA-PBE) data for crystalline TmPuHgOs at its relaxed geometry, as listed in Alexandria.

Magnetization, μB per formula unit: 5.28

POSCAR file:
```
TmPuHgOs
1.0
-3.1969 -0.1740 3.8329
-4.7611 -1.2928 -0.7762
-1.6917 -4.4024 1.6427
Tm Os Pu Hg
1 1 1 1
Direct
0.5000 0.5000 0.5000 Tm
0.7500 0.7500 0.7500 Os
0.0000 0.0000 0.0000 Pu
0.2500 0.2500 0.2500 Hg
```

=====

B:
First-principles (GGA-PBE) data for crystalline TmPuHgOs at its relaxed geometry, as listed in Alexandria.

Magnetization, μB per formula unit: 4.99

POSCAR file:
```
TmPuHgOs
1.0
3.3037 0.0000 0.0000
0.0000 3.3037 0.0000
0.0000 0.0000 8.1761
Hg Pu Tm Os
1 1 1 1
Direct
0.0000 0.0000 0.0639 Hg
0.5000 0.5000 0.3613 Pu
0.5000 0.5000 0.7839 Tm
0.0000 0.0000 0.5756 Os
```

=====

Quick one: least stable of them? A

=====

A:
First-principles (GGA-PBE) data for crystalline RbHgOs3 at its relaxed geometry, as listed in Alexandria.

Magnetization, μB per formula unit: 6.88

POSCAR file:
```
RbHgOs3
1.0
5.1664 0.0000 0.0000
0.0000 5.1664 0.0000
0.0000 0.0000 5.1664
Os Rb Hg
3 1 1
Direct
0.5000 0.0000 0.0000 Os
0.0000 0.0000 0.5000 Os
0.0000 0.5000 0.0000 Os
0.5000 0.5000 0.5000 Rb
0.0000 0.0000 0.0000 Hg
```

=====

B:
First-principles (GGA-PBE) data for crystalline RbHgOs3 at its relaxed geometry, as listed in Alexandria.

Magnetization, μB per formula unit: 4.44

POSCAR file:
```
RbHgOs3
1.0
-4.2268 1.3036 -1.9383
-0.4464 -4.3842 -1.9752
-2.2928 -1.5496 3.9577
Rb Os Hg
1 3 1
Direct
0.0000 0.0000 0.0000 Rb
0.0000 0.0000 0.5000 Os
0.5000 0.0000 0.0000 Os
0.0000 0.5000 0.0000 Os
0.5000 0.5000 0.5000 Hg
```

=====

Quick one: least stable of them? B

=====

A:
First-principles (GGA-PBE) data for crystalline ReHg2Os at its relaxed geometry, as listed in Alexandria.

Magnetization, μB per formula unit: 0.00

POSCAR file:
```
ReHg2Os
1.0
6.2447 0.0119 -0.0019
3.7245 5.0124 0.0019
-4.3598 -3.7519 2.4314
Os Hg Re
1 2 1
Direct
0.4663 0.4663 0.0000 Os
0.0262 0.0262 0.0000 Hg
0.7254 0.2254 0.5000 Hg
0.2820 0.7820 0.5000 Re
```

=====

B:
First-principles (GGA-PBE) data for crystalline ReHg2Os at its relaxed geometry, as listed in Alexandria.

Magnetization, μB per formula unit: 0.00

POSCAR file:
```
ReHg2Os
1.0
-2.8977 0.2447 0.1619
-0.2927 -2.2146 -1.8919
-0.3179 -7.2672 5.2919
Re Hg Os
1 2 1
Direct
0.5000 0.8117 0.7135 Re
0.0000 0.1346 0.9690 Hg
0.5000 0.1164 0.2805 Hg
0.0000 0.4374 0.5370 Os
```

=====

Quick one: least stable of them? A

=====

A:
First-principles (GGA-PBE) data for crystalline ReHgOs3 at its relaxed geometry, as listed in Alexandria.

Magnetization, μB per formula unit: 0.00

POSCAR file:
```
ReHgOs3
1.0
4.7302 0.0000 0.0000
0.0000 4.7302 0.0000
0.0000 0.0000 4.7302
Os Re Hg
3 1 1
Direct
0.0000 0.0000 0.5000 Os
0.0000 0.5000 0.0000 Os
0.5000 0.0000 0.0000 Os
0.0000 0.0000 0.0000 Re
0.5000 0.5000 0.5000 Hg
```

=====

B:
First-principles (GGA-PBE) data for crystalline ReHgOs3 at its relaxed geometry, as listed in Alexandria.

Magnetization, μB per formula unit: 0.00

POSCAR file:
```
ReHgOs3
1.0
-2.6653 2.0798 -3.3350
2.9651 -1.5810 -3.3556
-2.5799 -3.9656 -0.4113
Os Re Hg
3 1 1
Direct
0.5000 0.0000 0.0000 Os
0.0000 0.0000 0.5000 Os
0.0000 0.5000 0.0000 Os
0.5000 0.5000 0.5000 Re
0.0000 0.0000 0.0000 Hg
```

=====

Quick one: least stable of them? B

=====

A:
First-principles (GGA-PBE) data for crystalline Hg2OsRu at its relaxed geometry, as listed in Alexandria.

Magnetization, μB per formula unit: 2.31

POSCAR file:
```
Hg2OsRu
1.0
-2.7146 0.2506 3.7238
-3.3531 3.1645 0.2024
-4.4196 -1.3002 -0.2745
Ru Hg Os
1 2 1
Direct
0.0000 0.0000 0.0000 Ru
0.2500 0.2500 0.2500 Hg
0.7500 0.7500 0.7500 Hg
0.5000 0.5000 0.5000 Os
```

=====

B:
First-principles (GGA-PBE) data for crystalline Hg2OsRu at its relaxed geometry, as listed in Alexandria.

Magnetization, μB per formula unit: 0.00

POSCAR file:
```
Hg2OsRu
1.0
-0.8990 0.0124 2.7268
-2.6179 -0.9220 -0.8589
1.2927 -8.7164 0.4657
Hg Os Ru
2 1 1
Direct
0.0000 0.2044 0.9659 Hg
0.5000 0.0472 0.2824 Hg
0.0000 0.4198 0.5355 Os
0.5000 0.8285 0.7161 Ru
```

=====

C:
First-principles (GGA-PBE) data for crystalline Hg2OsRu at its relaxed geometry, as listed in Alexandria.

Magnetization, μB per formula unit: 0.00

POSCAR file:
```
Hg2OsRu
1.0
-2.4694 1.4079 5.4265
1.2358 -2.7827 5.3157
1.5178 3.2993 -4.9334
Ru Os Hg
1 1 2
Direct
0.2806 0.7806 0.5000 Ru
0.4683 0.4683 0.0000 Os
0.0249 0.0249 0.0000 Hg
0.7262 0.2262 0.5000 Hg
```

=====

Quick one: least stable of them? A

=====

A:
First-principles (GGA-PBE) data for crystalline Hg2OsRu at its relaxed geometry, as listed in Alexandria.

Magnetization, μB per formula unit: 2.24

POSCAR file:
```
Hg2OsRu
1.0
4.6370 0.0000 0.0000
0.0000 4.6370 0.0000
0.0000 0.0000 3.2305
Hg Ru Os
2 1 1
Direct
0.5000 0.5000 0.0000 Hg
0.0000 0.0000 0.0000 Hg
0.0000 0.5000 0.5000 Ru
0.5000 0.0000 0.5000 Os
```

=====

B:
First-principles (GGA-PBE) data for crystalline Hg2OsRu at its relaxed geometry, as listed in Alexandria.

Magnetization, μB per formula unit: 0.00

POSCAR file:
```
Hg2OsRu
1.0
7.5935 0.0000 0.0000
0.0000 7.5935 0.0000
3.7968 3.7968 2.6591
Hg Ru Os
4 2 2
Direct
0.8750 0.8754 0.7500 Hg
0.1246 0.6250 0.2500 Hg
0.6254 0.1250 0.2500 Hg
0.3750 0.3746 0.7500 Hg
0.5000 0.5000 0.0000 Ru
0.2500 0.7500 0.5000 Ru
0.7500 0.2500 0.5000 Os
0.0000 0.0000 0.0000 Os
```

=====

C:
First-principles (GGA-PBE) data for crystalline Hg2OsRu at its relaxed geometry, as listed in Alexandria.

Magnetization, μB per formula unit: 0.00

POSCAR file:
```
Hg2OsRu
1.0
-1.0670 0.9358 3.8396
-0.9488 -1.8139 3.5448
7.0787 -0.1903 4.6141
Ru Os Hg
1 1 2
Direct
0.7324 0.7324 0.6931 Ru
0.5146 0.5146 0.5568 Os
0.0066 0.0066 0.9754 Hg
0.2464 0.2464 0.2747 Hg
```

=====

Quick one: least stable of them? B

=====

A:
First-principles (GGA-PBE) data for crystalline Hg2OsRu at its relaxed geometry, as listed in Alexandria.

Magnetization, μB per formula unit: 2.92

POSCAR file:
```
Hg2OsRu
1.0
2.8935 0.0000 0.0000
0.0000 4.2025 0.0000
0.0000 0.0000 5.7914
Ru Os Hg
1 1 2
Direct
0.5000 0.5000 0.7500 Ru
0.5000 0.5000 0.2500 Os
0.0000 0.0000 0.9996 Hg
0.0000 0.0000 0.5004 Hg
```

=====

B:
First-principles (GGA-PBE) data for crystalline Hg2OsRu at its relaxed geometry, as listed in Alexandria.

Magnetization, μB per formula unit: 1.20

POSCAR file:
```
Hg2OsRu
1.0
4.8678 0.0000 0.0000
0.0000 2.8626 -0.0098
0.0000 0.0550 5.0383
Hg Ru Os
2 1 1
Direct
0.0000 0.0046 0.9990 Hg
0.0000 0.4954 0.5010 Hg
0.5000 0.7500 0.7500 Ru
0.5000 0.2500 0.2500 Os
```

=====

Quick one: least stable of them? A

=====

A:
First-principles (GGA-PBE) data for crystalline HgOsRu at its relaxed geometry, as listed in Alexandria.

Magnetization, μB per formula unit: 1.07

POSCAR file:
```
HgOsRu
1.0
-6.7400 1.2990 -3.5266
-7.0469 -1.1401 -2.1559
-1.0098 2.3755 1.1222
Os Hg Ru
1 1 1
Direct
0.6781 0.6781 0.3219 Os
0.9985 0.9985 0.0015 Hg
0.3234 0.3234 0.6766 Ru
```

=====

B:
First-principles (GGA-PBE) data for crystalline HgOsRu at its relaxed geometry, as listed in Alexandria.

Magnetization, μB per formula unit: 0.00

POSCAR file:
```
HgOsRu
1.0
6.4172 -0.0028 0.0000
5.1626 3.8115 0.0000
-5.7899 -1.9043 2.0076
Ru Os Hg
1 1 1
Direct
0.3165 0.3165 0.0000 Ru
0.6845 0.6845 0.0000 Os
0.9991 0.9991 0.0000 Hg
```

=====

Quick one: least stable of them? A